Record 1
{
  "formula": "CoBi2Au",
  "functional": "PBE-GGA",
  "state": "optimized geometry",
  "relative_energy_mev_per_atom": 19.1,
  "formation_enthalpy_0k_kcal_per_mol_atoms": 9.7,
  "lattice_angstrom": [[5.3048, 0.0000, 0.0000], [0.0000, 5.3048, 0.0000], [0.0000, 0.0000, 15.3266]],
  "species": ["Co", "Co", "Co", "Co", "Bi", "Bi", "Bi", "Bi", "Bi", "Bi", "Bi", "Bi", "Au", "Au", "Au", "Au"],
  "fractional_positions": [[0.0000, 0.0000, 0.0000], [0.0000, 0.5000, 0.2500], [0.5000, 0.0000, 0.7500], [0.5000, 0.5000, 0.5000], [0.2032, 0.2500, 0.1250], [0.2500, 0.7032, 0.3750], [0.2500, 0.7968, 0.8750], [0.2968, 0.2500, 0.6250], [0.7032, 0.7500, 0.6250], [0.7500, 0.2032, 0.8750], [0.7500, 0.2968, 0.3750], [0.7968, 0.7500, 0.1250], [0.0000, 0.0000, 0.5000], [0.0000, 0.5000, 0.7500], [0.5000, 0.0000, 0.2500], [0.5000, 0.5000, 0.0000]]
}

---

Record 2
{
  "formula": "CoBi2Au2",
  "functional": "PBE-GGA",
  "state": "optimized geometry",
  "formation_enthalpy_0k_kcal_per_mol_atoms": 7.5,
  "lattice_angstrom": [[7.1157, 0.0000, 0.0000], [0.0000, 7.1157, 0.0000], [0.0000, 0.0000, 4.4622]],
  "species": ["Co", "Co", "Bi", "Bi", "Bi", "Bi", "Au", "Au", "Au", "Au"],
  "fractional_positions": [[0.0000, 0.0000, 0.0000], [0.5000, 0.5000, 0.0000], [0.1740, 0.3260, 0.5000], [0.3260, 0.8260, 0.5000], [0.6740, 0.1740, 0.5000], [0.8260, 0.6740, 0.5000], [0.1425, 0.6425, 0.0000], [0.3575, 0.1425, 0.0000], [0.6425, 0.8575, 0.0000], [0.8575, 0.3575, 0.0000]]
}

---

Record 3
{
  "formula": "CrCoBiAu2",
  "functional": "PBE-GGA",
  "state": "optimized geometry",
  "formation_enthalpy_0k_kcal_per_mol_atoms": 16.8,
  "lattice_angstrom": [[4.9103, 0.0000, 0.0000], [0.0000, 4.9103, 0.0000], [0.0000, 0.0000, 4.7456]],
  "species": ["Cr", "Co", "Bi", "Au", "Au"],
  "fractional_positions": [[0.0000, 0.0000, 0.0000], [0.5000, 0.5000, 0.5000], [0.5000, 0.5000, 0.0000], [0.0000, 0.5000, 0.5000], [0.5000, 0.0000, 0.5000]]
}

---

Record 4
{
  "formula": "HfCo2BiAu",
  "functional": "PBE-GGA",
  "state": "optimized geometry",
  "formation_enthalpy_0k_kcal_per_mol_atoms": 27.3,
  "lattice_angstrom": [[4.6599, 0.0000, 0.0000], [0.0000, 4.6599, 0.0000], [0.0000, 0.0000, 5.3730]],
  "species": ["Hf", "Co", "Co", "Bi", "Au"],
  "fractional_positions": [[0.0000, 0.0000, 0.0000], [0.0000, 0.5000, 0.5000], [0.5000, 0.0000, 0.5000], [0.5000, 0.5000, 0.0000], [0.5000, 0.5000, 0.5000]]
}

---

Record 5
{
  "formula": "KCoBiAu2",
  "functional": "PBE-GGA",
  "state": "optimized geometry",
  "formation_enthalpy_0k_kcal_per_mol_atoms": 34.2,
  "lattice_angstrom": [[5.4099, 0.0000, 0.0000], [0.0000, 5.4099, 0.0000], [0.0000, 0.0000, 4.4059]],
  "species": ["K", "Co", "Bi", "Au", "Au"],
  "fractional_positions": [[0.0000, 0.0000, 0.0000], [0.0000, 0.0000, 0.5000], [0.5000, 0.5000, 0.5000], [0.0000, 0.5000, 0.0000], [0.5000, 0.0000, 0.0000]]
}

---

Record 6
{
  "formula": "MnCoBi2Au",
  "functional": "PBE-GGA",
  "state": "optimized geometry",
  "formation_enthalpy_0k_kcal_per_mol_atoms": 22.1,
  "lattice_angstrom": [[5.0858, 0.0000, 0.0000], [0.0000, 5.0858, 0.0000], [0.0000, 0.0000, 4.9743]],
  "species": ["Mn", "Co", "Bi", "Bi", "Au"],
  "fractional_positions": [[0.0000, 0.0000, 0.0000], [0.5000, 0.5000, 0.5000], [0.0000, 0.5000, 0.0000], [0.5000, 0.0000, 0.0000], [0.0000, 0.0000, 0.5000]]
}

---

Record 7
{
  "formula": "CoBi2PdAu",
  "functional": "PBE-GGA",
  "state": "optimized geometry",
  "formation_enthalpy_0k_kcal_per_mol_atoms": 10.5,
  "lattice_angstrom": [[4.8789, 0.0000, 0.0000], [0.0000, 4.8789, 0.0000], [0.0000, 0.0000, 4.9332]],
  "species": ["Co", "Bi", "Bi", "Pd", "Au"],
  "fractional_positions": [[0.0000, 0.0000, 0.0000], [0.0000, 0.5000, 0.0000], [0.5000, 0.0000, 0.0000], [0.5000, 0.5000, 0.5000], [0.0000, 0.0000, 0.5000]]
}

---

Record 8
{
  "formula": "PmCoBiAu",
  "functional": "PBE-GGA",
  "state": "optimized geometry",
  "formation_enthalpy_0k_kcal_per_mol_atoms": -3.2,
  "lattice_angstrom": [[7.0706, 0.0000, 0.0000], [0.0000, 7.0706, 0.0000], [0.0000, 0.0000, 7.0706]],
  "species": ["Pm", "Pm", "Pm", "Pm", "Co", "Co", "Co", "Co", "Bi", "Bi", "Bi", "Bi", "Au", "Au", "Au", "Au"],
  "fractional_positions": [[0.0000, 0.0000, 0.0000], [0.0000, 0.5000, 0.5000], [0.5000, 0.0000, 0.5000], [0.5000, 0.5000, 0.0000], [0.2500, 0.2500, 0.7500], [0.2500, 0.7500, 0.2500], [0.7500, 0.2500, 0.2500], [0.7500, 0.7500, 0.7500], [0.0000, 0.0000, 0.5000], [0.0000, 0.5000, 0.0000], [0.5000, 0.0000, 0.0000], [0.5000, 0.5000, 0.5000], [0.2500, 0.2500, 0.2500], [0.2500, 0.7500, 0.7500], [0.7500, 0.2500, 0.7500], [0.7500, 0.7500, 0.2500]]
}

---

Record 9
{
  "formula": "Co2BiTeAu",
  "functional": "PBE-GGA",
  "state": "optimized geometry",
  "e_form_raw_ev_per_atom": 0.994,
  "lattice_angstrom": [[4.6415, 0.0000, 0.0000], [0.0000, 4.6415, 0.0000], [0.0000, 0.0000, 6.1732]],
  "species": ["Co", "Co", "Bi", "Te", "Au"],
  "fractional_positions": [[0.0000, 0.5000, 0.0000], [0.5000, 0.0000, 0.0000], [0.0000, 0.0000, 0.5000], [0.0000, 0.0000, 0.0000], [0.5000, 0.5000, 0.5000]]
}

---

Record 10
{
  "formula": "TiCo2BiAu",
  "functional": "PBE-GGA",
  "state": "optimized geometry",
  "formation_enthalpy_0k_kcal_per_mol_atoms": 22.8,
  "lattice_angstrom": [[4.3358, 0.0000, 0.0000], [0.0000, 4.3358, 0.0000], [0.0000, 0.0000, 5.2994]],
  "species": ["Ti", "Co", "Co", "Bi", "Au"],
  "fractional_positions": [[0.0000, 0.0000, 0.0000], [0.0000, 0.5000, 0.0000], [0.5000, 0.0000, 0.0000], [0.0000, 0.0000, 0.5000], [0.5000, 0.5000, 0.5000]]
}

---

Record 11
{
  "formula": "CrBiAu3",
  "functional": "PBE-GGA",
  "state": "optimized geometry",
  "relative_energy_mev_per_atom": 89.7,
  "formation_enthalpy_0k_kcal_per_mol_atoms": 21.3,
  "lattice_angstrom": [[5.3888, 0.0000, 0.0000], [0.0000, 5.3888, 0.0000], [0.0000, 0.0000, 5.3888]],
  "species": ["Cr", "Bi", "Au", "Au", "Au"],
  "fractional_positions": [[0.0000, 0.0000, 0.0000], [0.5000, 0.5000, 0.5000], [0.0000, 0.5000, 0.5000], [0.5000, 0.0000, 0.5000], [0.5000, 0.5000, 0.0000]]
}

---

Record 12
{
  "formula": "CrBiAu2",
  "functional": "PBE-GGA",
  "state": "optimized geometry",
  "formation_enthalpy_0k_kcal_per_mol_atoms": 2.8,
  "lattice_angstrom": [[3.4196, 0.0000, 0.0000], [0.0000, 3.4196, 0.0000], [0.0000, 0.0000, 7.0472]],
  "species": ["Cr", "Bi", "Au", "Au"],
  "fractional_positions": [[0.0000, 0.0000, 0.0000], [0.0000, 0.0000, 0.5000], [0.5000, 0.5000, 0.2060], [0.5000, 0.5000, 0.7940]]
}

---

Number 1: magnetization 0.0 μB/f.u., total DFT energy (no corrections) -16.45 eV/f.u.. Number 2: magnetization 1.7 μB/f.u., total DFT energy (no corrections) -19.80 eV/f.u.. Number 3: magnetization 5.6 μB/f.u., total DFT energy (no corrections) -23.53 eV/f.u.. Number 4: magnetization 3.2 μB/f.u., total DFT energy (no corrections) -25.40 eV/f.u.. Number 5: magnetization 0.0 μB/f.u., total DFT energy (no corrections) -11.23 eV/f.u.. Number 6: magnetization 4.6 μB/f.u., total DFT energy (no corrections) -22.51 eV/f.u.. Number 7: magnetization 0.0 μB/f.u., total DFT energy (no corrections) -21.05 eV/f.u.. Number 8: magnetization 1.2 μB/f.u., total DFT energy (no corrections) -19.57 eV/f.u.. Number 9: magnetization 3.1 μB/f.u., total DFT energy (no corrections) -19.54 eV/f.u.. Number 10: magnetization 1.1 μB/f.u., total DFT energy (no corrections) -24.32 eV/f.u.. Number 11: magnetization 5.3 μB/f.u., total DFT energy (no corrections) -18.73 eV/f.u.. Number 12: magnetization 3.8 μB/f.u., total DFT energy (no corrections) -19.58 eV/f.u..